Record 1
# MnAgIr2 (PBE-GGA, relaxed)
data_MnAgIr2
_space_group_name_H-M_alt 'F m -3 m'
_space_group_IT_number 225
_space_group_name_Hall '-F 4 2 3'
_cell_length_a 6.1983
_cell_length_b 6.1983
_cell_length_c 6.1983
_cell_angle_alpha 90.00
_cell_angle_beta 90.00
_cell_angle_gamma 90.00
loop_
_atom_site_label
_atom_site_type_symbol
_atom_site_fract_x
_atom_site_fract_y
_atom_site_fract_z
Mn1 Mn 0.0000 0.0000 0.0000
Ag1 Ag 0.0000 0.0000 0.5000
Ir1 Ir 0.2500 0.2500 0.2500
# * energy relative to the lowest polymorph listed for this composition: 0.258 eV per atom
# * M_tot: 9.601 μB per cell



Record 2
# MnAg4Ir (PBE-GGA, relaxed)
data_MnAg4Ir
_space_group_name_H-M_alt 'F -4 3 m'
_space_group_IT_number 216
_space_group_name_Hall 'F -4 2 3'
_cell_length_a 7.5287
_cell_length_b 7.5287
_cell_length_c 7.5287
_cell_angle_alpha 90.00
_cell_angle_beta 90.00
_cell_angle_gamma 90.00
loop_
_atom_site_label
_atom_site_type_symbol
_atom_site_fract_x
_atom_site_fract_y
_atom_site_fract_z
Mn1 Mn 0.0000 0.0000 0.0000
Ag1 Ag 0.1249 0.1249 0.3751
Ir1 Ir 0.2500 0.2500 0.7500
# * calculated total energy: -4.353 eV/atom
# * M_tot: 18.466 μB per cell



Record 3
# MnAgIr4 (PBE-GGA, relaxed)
data_MnAgIr4
_space_group_name_H-M_alt 'F -4 3 m'
_space_group_IT_number 216
_space_group_name_Hall 'F -4 2 3'
_cell_length_a 7.3465
_cell_length_b 7.3465
_cell_length_c 7.3465
_cell_angle_alpha 90.00
_cell_angle_beta 90.00
_cell_angle_gamma 90.00
loop_
_atom_site_label
_atom_site_type_symbol
_atom_site_fract_x
_atom_site_fract_y
_atom_site_fract_z
Mn1 Mn 0.0000 0.0000 0.0000
Ag1 Ag 0.2500 0.2500 0.7500
Ir1 Ir 0.1251 0.1251 0.3749
# * calculated total energy: -7.519 eV/atom
# * M_tot: 16.567 μB per cell



Record 4
# MnAgIr3 (PBE-GGA, relaxed)
data_MnAgIr3
_space_group_name_H-M_alt 'P m -3 m'
_space_group_IT_number 221
_space_group_name_Hall '-P 4 2 3'
_cell_length_a 4.7920
_cell_length_b 4.7920
_cell_length_c 4.7920
_cell_angle_alpha 90.00
_cell_angle_beta 90.00
_cell_angle_gamma 90.00
loop_
_atom_site_label
_atom_site_type_symbol
_atom_site_fract_x
_atom_site_fract_y
_atom_site_fract_z
Mn1 Mn 0.0000 0.0000 0.0000
Ag1 Ag 0.5000 0.5000 0.5000
Ir1 Ir 0.0000 0.5000 0.5000
# * energy relative to the lowest polymorph listed for this composition: 1.073 eV per atom
# * M_tot: 2.571 μB per cell



Density of states at the Fermi level for the records above, in order: 0.852, 0.548, 1.789, 1.706 states/eV per atom